[1]
! CeTiCo2 (PBE-GGA, optimized geometry); values from VASP
! - size of the total moment (μB/cell) = 0.0
! - DFT formation energy (eV/f.u.) = -0.70
! - density of states at the Fermi level (states/eV/f.u.) = 4.78
! - distance to the lowest polymorph of the same formula (meV per atom) = 85.1
! - calculated total energy (eV/cell) = -28.7
&SYSTEM
  ibrav = 0, nat = 4, ntyp = 3
/
ATOMIC_SPECIES
Co 58.93 Co.upf
Ce 140.12 Ce.upf
Ti 47.87 Ti.upf
CELL_PARAMETERS angstrom
4.076 0.000 0.000
2.038 3.530 0.000
2.038 1.177 4.684
ATOMIC_POSITIONS crystal
Co 0.783 0.783 0.651
Co 0.217 0.217 0.349
Ce 0.000 0.000 0.000
Ti 0.500 0.500 0.500

***

[2]
! Cr2Ga2Rh (PBE-GGA, optimized geometry); values from VASP
! - size of the total moment (μB/cell) = 0.0
! - DFT formation energy (eV/f.u.) = 0.72
! - density of states at the Fermi level (states/eV/f.u.) = 3.10
! - distance to the lowest polymorph of the same formula (meV per atom) = 0.0
! - calculated total energy (eV/cell) = -31.9
&SYSTEM
  ibrav = 0, nat = 5, ntyp = 3
/
ATOMIC_SPECIES
Cr 52.00 Cr.upf
Rh 102.91 Rh.upf
Ga 69.72 Ga.upf
CELL_PARAMETERS angstrom
3.220 0.000 0.000
0.000 3.220 0.000
1.610 1.610 6.905
ATOMIC_POSITIONS crystal
Cr 0.750 0.250 0.500
Cr 0.250 0.750 0.500
Rh 0.000 0.000 0.000
Ga 0.402 0.402 0.197
Ga 0.598 0.598 0.803

***

[3]
! VH2Pd (PBE-GGA, optimized geometry); values from VASP
! - size of the total moment (μB/cell) = 0.0
! - density of states at the Fermi level (states/eV/f.u.) = 2.67
! - distance to the lowest polymorph of the same formula (meV per atom) = 384.2
! - calculated total energy (eV/cell) = -20.2
&SYSTEM
  ibrav = 0, nat = 4, ntyp = 3
/
ATOMIC_SPECIES
H 1.01 H.upf
Pd 106.42 Pd.upf
V 50.94 V.upf
CELL_PARAMETERS angstrom
2.865 0.000 0.000
1.433 2.481 0.000
1.433 0.827 5.212
ATOMIC_POSITIONS crystal
H 0.115 0.115 0.655
H 0.885 0.885 0.345
Pd 0.500 0.500 0.500
V 0.000 0.000 0.000

***

[4]
! ZrInSe2 (PBE-GGA, optimized geometry); values from VASP
! - size of the total moment (μB/cell) = 0.0
! - density of states at the Fermi level (states/eV/f.u.) = 2.47
! - calculated total energy (eV/cell) = -21.6
! - E_form (uncorrected) (kcal/mol of atoms) = -19.37
&SYSTEM
  ibrav = 0, nat = 4, ntyp = 3
/
ATOMIC_SPECIES
In 114.82 In.upf
Se 78.96 Se.upf
Zr 91.22 Zr.upf
CELL_PARAMETERS angstrom
-2.381 -0.120 -2.450
2.016 -2.024 -1.860
-1.218 -8.406 1.595
ATOMIC_POSITIONS crystal
In 0.500 0.750 0.750
Se 0.000 0.947 0.052
Se 0.000 0.553 0.448
Zr 0.500 0.250 0.250

***

[5]
! Si2PtW (PBE-GGA, optimized geometry); values from VASP
! - size of the total moment (μB/cell) = 0.0
! - density of states at the Fermi level (states/eV/f.u.) = 2.13
! - distance to the lowest polymorph of the same formula (meV per atom) = 13.1
! - calculated total energy (eV/cell) = -30.9
! - E_form (uncorrected) (kcal/mol of atoms) = -5.96
&SYSTEM
  ibrav = 0, nat = 4, ntyp = 3
/
ATOMIC_SPECIES
Pt 195.08 Pt.upf
Si 28.09 Si.upf
W 183.84 W.upf
CELL_PARAMETERS angstrom
4.840 0.025 -0.001
3.922 2.836 -0.001
1.173 0.383 4.204
ATOMIC_POSITIONS crystal
Pt 0.256 0.256 0.178
Si 0.007 0.007 0.058
Si 0.747 0.747 0.688
W 0.490 0.490 0.577

***

[6]
! In2Si2Ag (PBE-GGA, optimized geometry); values from VASP
! - size of the total moment (μB/cell) = 0.0
! - density of states at the Fermi level (states/eV/f.u.) = 1.86
! - distance to the lowest polymorph of the same formula (meV per atom) = 0.0
! - calculated total energy (eV/cell) = -18.1
! - E_form (uncorrected) (kcal/mol of atoms) = 4.90
&SYSTEM
  ibrav = 0, nat = 5, ntyp = 3
/
ATOMIC_SPECIES
Si 28.09 Si.upf
Ag 107.87 Ag.upf
In 114.82 In.upf
CELL_PARAMETERS angstrom
-1.571 -2.661 -1.527
2.111 -2.183 1.631
-5.419 -2.913 6.759
ATOMIC_POSITIONS crystal
Si 0.750 0.250 0.500
Si 0.250 0.750 0.500
Ag 0.000 0.000 0.000
In 0.396 0.396 0.208
In 0.604 0.604 0.792

***

[7]
! NdAlZn2Cu2 (PBE-GGA, optimized geometry); values from VASP
! - size of the total moment (μB/cell) = 0.0
! - DFT formation energy (eV/f.u.) = 0.07
! - density of states at the Fermi level (states/eV/f.u.) = 3.22
! - calculated total energy (eV/cell) = -19.2
&SYSTEM
  ibrav = 0, nat = 6, ntyp = 4
/
ATOMIC_SPECIES
Nd 144.24 Nd.upf
Al 26.98 Al.upf
Zn 65.41 Zn.upf
Cu 63.55 Cu.upf
CELL_PARAMETERS angstrom
4.462 0.000 0.000
0.000 4.462 0.000
0.000 0.000 5.745
ATOMIC_POSITIONS crystal
Nd 0.000 0.000 0.500
Al 0.000 0.000 0.000
Zn 0.500 0.500 0.737
Zn 0.500 0.500 0.263
Cu 0.500 0.000 0.000
Cu 0.000 0.500 0.000

***

[8]
! KBe2Rh (PBE-GGA, optimized geometry); values from VASP
! - size of the total moment (μB/cell) = 0.0
! - DFT formation energy (eV/f.u.) = 2.52
! - density of states at the Fermi level (states/eV/f.u.) = 1.31
! - distance to the lowest polymorph of the same formula (meV per atom) = 702.4
! - calculated total energy (eV/cell) = -13.4
&SYSTEM
  ibrav = 0, nat = 4, ntyp = 3
/
ATOMIC_SPECIES
Be 9.01 Be.upf
K 39.10 K.upf
Rh 102.91 Rh.upf
CELL_PARAMETERS angstrom
-2.824 2.417 -3.821
-4.083 -3.422 -0.193
2.260 3.519 3.306
ATOMIC_POSITIONS crystal
Be 0.104 0.104 0.000
Be 0.396 0.396 0.000
K 0.750 0.250 0.500
Rh 0.250 0.750 0.500

***

Number 1: density 7.54 g cm⁻³. Number 2: density 8.03 g cm⁻³. Number 3: density 7.14 g cm⁻³. Number 4: density 6.53 g cm⁻³. Number 5: density 12.61 g cm⁻³. Number 6: density 6.25 g cm⁻³. Number 7: density 6.23 g cm⁻³. Number 8: density 3.06 g cm⁻³.